(1)
VASP calculation (PBE) on a relaxed structure of Tm2Cu15Rh2.

abc: 8.5772 8.5772 12.4092
angles: 90.00 90.00 120.00
Space group R-3m (No. 166, hexagonal axes)
Unique sites:
Tm1 0.0000 0.0000 0.1683 [6 per cell]
Cu1 0.0000 0.2951 0.5000 [18 per cell]
Cu2 0.0000 0.5000 0.0000 [9 per cell]
Cu3 0.0047 0.5023 0.6495 [18 per cell]
Rh1 0.0000 0.0000 0.3943 [6 per cell]

* density: 9.43 g cm⁻³
* crystal system: trigonal
* formation energy from the elements: -158.5 meV per atom
* total moment: 0.0000 μB per atom
* calculated total energy: -4.64 eV/atom



(2)
VASP calculation (PBE) on a relaxed structure of DyAlAg.

abc: 3.3247 3.3247 11.4052
angles: 90.00 90.00 90.00
Space group I4mm (No. 107)
Unique sites:
Dy1 0.0000 0.0000 0.0000 [2 per cell]
Al1 0.0000 0.0000 0.6836 [2 per cell]
Ag1 0.0000 0.0000 0.3111 [2 per cell]

* density: 7.83 g cm⁻³
* crystal system: tetragonal
* formation energy from the elements: -245.0 meV per atom
* total moment: 0.0251 μB per atom
* calculated total energy: -3.98 eV/atom



(3)
VASP calculation (PBE) on a relaxed structure of PmHo3Er6Sc2.

abc: 6.0314 10.4352 11.5516
angles: 90.00 99.97 90.00
Space group C2/m (No. 12)
Unique sites:
Pm1 0.0000 0.0000 0.0000 [2 per cell]
Ho1 0.0000 0.1672 0.5000 [4 per cell]
Ho2 0.0000 0.5000 0.5000 [2 per cell]
Er1 0.2471 0.5000 0.2466 [4 per cell]
Er2 0.2490 0.3322 0.7533 [8 per cell]
Sc1 0.0000 0.3333 0.0000 [4 per cell]

* density: 8.04 g cm⁻³
* crystal system: monoclinic
* formation energy from the elements: 36.9 meV per atom
* total moment: 0.0000 μB per atom
* calculated total energy: -4.84 eV/atom



(4)
VASP calculation (PBE) on a relaxed structure of Li3Pa2AuSe6.

abc: 17.5965 4.0541 7.9668
angles: 90.00 107.13 90.00
Space group C2/m (No. 12)
Unique sites:
Li1 0.0000 0.0000 0.0000 [2 per cell]
Li2 0.1645 0.5000 0.3133 [4 per cell]
Pa1 0.1525 0.5000 0.7989 [4 per cell]
Au1 0.0000 0.0000 0.5000 [2 per cell]
Se1 0.0072 0.5000 0.2458 [4 per cell]
Se2 0.1713 0.0000 0.0704 [4 per cell]
Se3 0.1728 0.0000 0.5665 [4 per cell]

* density: 7.05 g cm⁻³
* crystal system: monoclinic
* total moment: 0.1689 μB per atom
* calculated total energy: -5.18 eV/atom



(5)
VASP calculation (PBE) on a relaxed structure of LaCeSnHg.

abc: 4.0832 4.0832 7.0159
angles: 90.00 90.00 90.00
Space group P4mm (No. 99)
Unique sites:
La1 0.0000 0.0000 0.0000 [1 per cell]
Ce1 0.0000 0.0000 0.4791 [1 per cell]
Sn1 0.5000 0.5000 0.2528 [1 per cell]
Hg1 0.5000 0.5000 0.7308 [1 per cell]

* density: 8.49 g cm⁻³
* crystal system: tetragonal
* formation energy from the elements: -523.7 meV per atom
* total moment: 0.3344 μB per atom
* calculated total energy: -4.32 eV/atom
* energy above the most stable polymorph in this dataset: 6 meV per atom



(6)
VASP calculation (PBE) on a relaxed structure of RbAuI3.

abc: 7.4102 7.9059 8.4392
angles: 90.00 115.12 90.00
Space group P2_1/m (No. 11)
Unique sites:
Rb1 0.2204 0.2500 0.4402 [2 per cell]
Au1 0.0350 0.7500 0.0690 [2 per cell]
I1 0.2339 0.7500 0.4658 [2 per cell]
I2 0.2576 0.0010 0.9979 [4 per cell]

* density: 4.92 g cm⁻³
* crystal system: monoclinic
* total moment: 0.0000 μB per atom
* calculated total energy: -2.36 eV/atom



| no. | V (Å³ per atom) |
| --- | --- |
| 1 | 13.87 |
| 2 | 21.01 |
| 3 | 29.84 |
| 4 | 22.63 |
| 5 | 29.24 |
| 6 | 44.76 |